KZrGaS3: relaxed, PBE.

The total moment is 1.557 μB/f.u. As for the total energy: -5.143 eV/atom.

It has space group Cmcm (No. 63), with a = 3.986 Å, b = 14.211 Å, c = 10.298 Å, α = 90.00°, β = 90.00° and γ = 90.00°. The asymmetric unit holds K at (0.000, 0.247, 0.250), Zr at (0.000, 0.500, 0.000), Ga at (0.000, 0.031, 0.750), S at (0.000, 0.121, 0.562) and S at (0.000, 0.440, 0.750).

NdGeBi: relaxed, PBE.

The total moment is 0.000 μB/f.u. The energy above the lowest structure with this stoichiometry is 25 meV per atom.

It has space group F-43m (No. 216), with a = 7.351 Å, b = 7.351 Å, c = 7.351 Å, α = 90.00°, β = 90.00° and γ = 90.00°. The asymmetric unit holds Nd at (0.000, 0.000, 0.000), Ge at (0.000, 0.000, 0.500) and Bi at (0.250, 0.250, 0.750).